Record 1
Density functional theory data (GGA-PBE) for a geometry-optimized Y4Ho8Er structure.

```
13
Lattice="3.639 2.101 9.046 -3.639 2.101 9.046 0.000 -4.202 9.046" Properties=species:S:1:pos:R:3 pbc="T T T"
Y 0.000 0.000 0.000
Y -1.819 -1.050 9.046
Y -1.819 1.050 18.091
Y 0.000 2.101 9.046
Ho -2.019 -1.166 15.338
Ho 0.000 0.000 5.856
Ho 0.000 -2.331 11.799
Ho -2.019 1.166 11.799
Ho 2.019 -1.166 15.338
Ho 0.000 2.331 15.338
Ho 0.000 0.000 21.281
Ho 2.019 1.166 11.799
Er 0.000 0.000 13.569
```

## Properties
Space-group type ... R-3m (166)
Energy of formation ... 222 meV per atom
Calculated density ... 7.373 Mg/m³

Record 2
Density functional theory data (GGA-PBE) for a geometry-optimized YHo3Er7 structure.

```
11
Lattice="6.242 -5.532 0.000 6.242 5.532 0.000 -2.618 0.000 5.090" Properties=species:S:1:pos:R:3 pbc="T T T"
Y 0.000 0.000 0.000
Ho 4.933 2.300 2.545
Ho 6.242 0.000 0.000
Ho 4.933 -2.300 2.545
Er -1.309 0.000 2.545
Er 1.607 2.172 4.051
Er 2.895 0.000 1.500
Er 1.607 -2.172 4.051
Er 8.258 2.172 1.039
Er 6.970 0.000 3.590
Er 8.258 -2.172 1.039
```

## Properties
Space-group type ... C2/m (12)
Energy of formation ... 278 meV per atom
E above lowest polymorph ... 0.1227 eV per atom
Calculated density ... 8.289 Mg/m³

Record 3
Density functional theory data (GGA-PBE) for a geometry-optimized Y4Ho7Er structure.

```
12
Lattice="5.987 -2.928 0.000 5.987 2.928 0.000 -5.902 0.000 11.157" Properties=species:S:1:pos:R:3 pbc="T T T"
Y -1.169 0.000 3.583
Y 3.007 0.000 2.503
Y 3.065 0.000 8.654
Y 7.241 0.000 7.574
Ho 0.000 0.000 0.000
Ho -2.905 0.000 10.316
Ho -1.074 0.000 7.619
Ho 1.437 0.000 5.564
Ho 4.635 0.000 5.594
Ho 7.146 0.000 3.538
Ho 8.977 0.000 0.841
Er 5.987 0.000 0.000
```

## Properties
Space-group type ... C2/m (12)
Energy of formation ... 293 meV per atom
Calculated density ... 7.121 Mg/m³